This record from Alexandria describes Th5NpS6 after structural relaxation. The functional is GGA-PBE.

```
data_Th5NpS6
_symmetry_space_group_name_H-M 'C 1 2/m 1'
_symmetry_Int_Tables_number 12
_cell_length_a 6.972
_cell_length_b 12.035
_cell_length_c 6.978
_cell_angle_alpha 90.00
_cell_angle_beta 109.26
_cell_angle_gamma 90.00
loop_
_symmetry_equiv_pos_as_xyz
'x,y,z'
'-x,-y,-z'
'-x,y,-z'
'x,-y,z'
'x+1/2,y+1/2,z'
'-x+1/2,-y+1/2,-z'
'-x+1/2,y+1/2,-z'
'x+1/2,-y+1/2,z'
loop_
_atom_site_label
_atom_site_type_symbol
_atom_site_fract_x
_atom_site_fract_y
_atom_site_fract_z
Th1 Th 0.000 0.000 0.000
Th2 Th 0.000 0.167 0.500
Th3 Th 0.000 0.331 0.000
Np1 Np 0.000 0.500 0.500
S1 S 0.245 0.336 0.745
S2 S 0.245 0.500 0.252
```

Computed properties:
N(E_F) = 14.1 states/eV/f.u.
ΔE_f (raw) = -1769 meV/atom